Record 1
Ac2Pm2Dy5, optimized geometry, DFT PBE-GGA; calculated formation energy = 0.097 eV per atom; calculated density = 8.0 g/cm3
1.0
3.741 0.000 0.000
-1.870 7.217 0.000
-1.870 -1.242 11.934
Ac Pm Dy
2 2 5
direct
0.239 0.343 0.137
0.761 0.657 0.863
0.248 0.887 0.609
0.752 0.113 0.391
0.014 0.712 0.317
0.500 0.111 0.888
0.500 0.500 0.500
0.500 0.889 0.112
0.986 0.288 0.683

Record 2
NbVGe2W, optimized geometry, DFT PBE-GGA; calculated formation energy = 1.395 eV per atom; calculated density = 6.9 g/cm3
1.0
4.785 0.000 0.000
0.000 4.785 0.000
0.000 0.000 4.946
Nb V Ge W
1 1 2 1
direct
0.000 0.000 0.000
0.500 0.500 0.000
0.000 0.500 0.500
0.500 0.000 0.500
0.000 0.000 0.500

Record 3
Rb2CaOsI6, optimized geometry, DFT PBE-GGA; raw formation energy = -0.80 eV per atom; calculated density = 4.9 g/cm3
1.0
0.000 5.829 5.829
5.829 0.000 5.829
5.829 5.829 0.000
Rb Ca Os I
2 1 1 6
direct
0.250 0.250 0.250
0.750 0.750 0.750
0.000 0.000 0.000
0.500 0.500 0.500
0.266 0.266 0.734
0.266 0.734 0.266
0.266 0.734 0.734
0.734 0.266 0.266
0.734 0.266 0.734
0.734 0.734 0.266

Record 4
RbNaZn2Te, optimized geometry, DFT PBE-GGA; raw formation energy = 0.09 eV per atom; calculated density = 2.9 g/cm3
1.0
6.067 0.000 0.000
0.000 6.067 0.000
0.000 0.000 5.660
Rb Na Zn Te
1 1 2 1
direct
0.000 0.000 0.000
0.500 0.500 0.000
0.000 0.500 0.500
0.500 0.000 0.500
0.500 0.500 0.500

Record 5
VAsW2, optimized geometry, DFT PBE-GGA; calculated formation energy = 0.299 eV per atom; excess energy over the best structure of this formula in the dataset = 0 meV per atom; calculated density = 13.6 g/cm3
1.0
0.000 3.109 3.109
3.109 0.000 3.109
3.109 3.109 0.000
V As W
1 1 2
direct
0.000 0.000 0.000
0.500 0.500 0.500
0.250 0.250 0.250
0.750 0.750 0.750

Record 6
La2PmY5Er, optimized geometry, DFT PBE-GGA; calculated formation energy = 0.246 eV per atom; calculated density = 5.7 g/cm3
1.0
-4.356 4.356 7.936
4.356 -4.356 7.936
4.356 4.356 -7.936
La Pm Y Er
4 2 10 2
direct
0.117 0.617 0.734
0.383 0.117 0.500
0.617 0.883 0.500
0.883 0.383 0.266
0.250 0.250 0.000
0.750 0.750 0.000
0.000 0.000 0.000
0.074 0.144 0.500
0.144 0.644 0.070
0.356 0.426 0.500
0.426 0.926 0.070
0.500 0.500 0.000
0.574 0.074 0.930
0.644 0.574 0.500
0.856 0.356 0.930
0.926 0.856 0.500
0.250 0.750 0.500
0.750 0.250 0.500

Please write out number 3 again, unchanged.
Rb2CaOsI6, optimized geometry, DFT PBE-GGA; raw formation energy = -0.80 eV per atom; calculated density = 4.9 g/cm3
1.0
0.000 5.829 5.829
5.829 0.000 5.829
5.829 5.829 0.000
Rb Ca Os I
2 1 1 6
direct
0.250 0.250 0.250
0.750 0.750 0.750
0.000 0.000 0.000
0.500 0.500 0.500
0.266 0.266 0.734
0.266 0.734 0.266
0.266 0.734 0.734
0.734 0.266 0.266
0.734 0.266 0.734
0.734 0.734 0.266

What did the fifth record say?
VAsW2, optimized geometry, DFT PBE-GGA; calculated formation energy = 0.299 eV per atom; excess energy over the best structure of this formula in the dataset = 0 meV per atom; calculated density = 13.6 g/cm3
1.0
0.000 3.109 3.109
3.109 0.000 3.109
3.109 3.109 0.000
V As W
1 1 2
direct
0.000 0.000 0.000
0.500 0.500 0.500
0.250 0.250 0.250
0.750 0.750 0.750